CaIn2Hg at its PBEsol-relaxed geometry. Source: Alexandria via LeMat-Bulk, functional meta-GGA SCAN.

Values from the calculation:
The calculation puts the formation energy at -390 meV per atom. Its crystal system is monoclinic. As for the density of states at the Fermi level: 1.7 states/eV per cell.

Cell lengths 3.4009, 4.9065, 6.0589 Å; angles 90.00, 90.14, 90.00 degrees
Positions (direct):
Ca: 0.0000 0.0000 0.0000
In: 0.4979 0.5000 0.7512
In: 0.5027 0.0000 0.4898
Hg: 0.4997 0.5000 0.2285